1.
KTl2VI6 | PBE-GGA | optimized geometry

It has space group R3 (No. 146, hexagonal axes), with a = 8.4156 Å, b = 8.4156 Å, c = 21.4966 Å, α = 90.00°, β = 90.00° and γ = 120.00°. The asymmetric unit holds K at (0.0000, 0.0000, 0.0000), Tl at (0.0000, 0.0000, 0.1965), Tl at (0.0000, 0.0000, 0.7103), V at (0.0000, 0.0000, 0.5078), I at (0.0235, 0.7444, 0.5847) and I at (0.0806, 0.3759, 0.1006).


2.
K2YTlI6 | PBE-GGA | optimized geometry

It has space group R3 (No. 146, hexagonal axes), with a = 8.6625 Å, b = 8.6625 Å, c = 22.4639 Å, α = 90.00°, β = 90.00° and γ = 120.00°. The asymmetric unit holds K at (0.0000, 0.0000, 0.0000), K at (0.0000, 0.0000, 0.4889), Y at (0.0000, 0.0000, 0.6926), Tl at (0.0000, 0.0000, 0.2006), I at (0.0217, 0.3978, 0.4343) and I at (0.0645, 0.6907, 0.2764).


3.
K3TlZn4I12 | PBE-GGA | optimized geometry

It has space group R32 (No. 155, hexagonal axes), with a = 16.4935 Å, b = 16.4935 Å, c = 13.8804 Å, α = 90.00°, β = 90.00° and γ = 120.00°. The asymmetric unit holds K at (0.0000, 0.5286, 0.0000), Tl at (0.0000, 0.0000, 0.0000), Zn at (0.0000, 0.0000, 0.5000), Zn at (0.0000, 0.4586, 0.5000), I at (0.0000, 0.6130, 0.5000), I at (0.0000, 0.8466, 0.5000) and I at (0.0239, 0.1981, 0.1577).


4.
K3Tl3ZnI8 | PBE-GGA | optimized geometry

It has space group R-3m (No. 166, hexagonal axes), with a = 9.9762 Å, b = 9.9762 Å, c = 24.3676 Å, α = 90.00°, β = 90.00° and γ = 120.00°. The asymmetric unit holds K at (0.0000, 0.5000, 0.0000), Tl at (0.0000, 0.5000, 0.5000), Zn at (0.0000, 0.0000, 0.0000), I at (0.0000, 0.0000, 0.2508) and I at (0.0566, 0.5283, 0.7364).


5.
KTlZnI4 | PBE-GGA | optimized geometry

It has space group P2_1/m (No. 11), with a = 8.062 Å, b = 8.111 Å, c = 9.623 Å, α = 90.00°, β = 107.81° and γ = 90.00°. The asymmetric unit holds K at (0.230, 0.250, 0.058), Tl at (0.250, 0.250, 0.564), Zn at (0.229, 0.750, 0.800), I at (0.006, 0.002, 0.740), I at (0.405, 0.750, 0.079) and I at (0.417, 0.750, 0.620).


6.
KZrTl2I8 | PBE-GGA | optimized geometry

It has space group P-1 (No. 2), with a = 6.848 Å, b = 8.561 Å, c = 10.119 Å, α = 90.07°, β = 90.25° and γ = 93.57°. The asymmetric unit holds K at (0.000, 0.000, 0.000), Zr at (0.000, 0.000, 0.500), Tl at (0.498, 0.499, 0.707), I at (0.193, 0.711, 0.498), I at (0.244, 0.512, 0.000), I at (0.257, 0.126, 0.296) and I at (0.259, 0.123, 0.706).


| no. | magnetic moment (μB/f.u.) | ΔE_f (raw) (eV per atom) |
| --- | --- | --- |
| 1 | 2.000 | -0.699 |
| 2 | 0.000 | -1.286 |
| 3 | 0.000 | -0.808 |
| 4 | 0.000 | -0.930 |
| 5 | 0.000 | -0.868 |
| 6 | 0.002 | -0.789 |